Entry 1:
{"formula": "ZnCuAs2", "functional": "PBE", "state": "optimized geometry", "lattice_angstrom": [[3.6776, 0.0000, 0.0000], [0.0000, 4.3858, -0.0256], [0.0000, 1.1573, 4.6336]], "species": ["As", "Zn", "As", "Cu"], "fractional_positions": [[0.0000, 0.5127, 0.4472], [0.5000, 0.7500, 0.7500], [0.0000, 0.9873, 0.0528], [0.5000, 0.2500, 0.2500]], "spacegroup": "P2/m (10)", "volume_a3_per_atom": 18.71, "formation_enthalpy_0k_mev_per_atom": 101, "dos_at_fermi_per_ev_cell": 0.8}

=====

Entry 2:
{"formula": "ZnCuAs3", "functional": "PBE", "state": "optimized geometry", "lattice_angstrom": [[4.7314, 0.0000, 0.0000], [0.0000, 4.7314, 0.0000], [0.0000, 0.0000, 4.7314]], "species": ["Zn", "As", "Cu", "As", "As"], "fractional_positions": [[0.5000, 0.5000, 0.5000], [0.5000, 0.0000, 0.0000], [0.0000, 0.0000, 0.0000], [0.0000, 0.0000, 0.5000], [0.0000, 0.5000, 0.0000]], "spacegroup": "Pm-3m (221)", "volume_a3_per_atom": 21.18, "polymorph_energy_mev_per_atom": 0.0, "formation_enthalpy_0k_mev_per_atom": 658, "dos_at_fermi_per_ev_cell": 3.7}